Entry 1:
A relaxed structure of Hf3P2H2. Source: Alexandria via LeMat-Bulk, functional PBE.

CIF file:
```
data_Hf3P2H2
_chemical_formula_sum 'Hf6 P4 H4'
_space_group_name_H-M_alt 'P 1 21/c 1'
_space_group_IT_number 14
_cell_length_a 4.9205
_cell_length_b 6.3228
_cell_length_c 7.1781
_cell_angle_alpha 90.00
_cell_angle_beta 109.72
_cell_angle_gamma 90.00
loop_
_space_group_symop_operation_xyz
'x,y,z'
'-x,-y,-z'
'-x,y+1/2,-z+1/2'
'x,-y+1/2,z+1/2'
loop_
_atom_site_label
_atom_site_type_symbol
_atom_site_fract_x
_atom_site_fract_y
_atom_site_fract_z
Hf1 Hf 0.0000 0.0000 0.0000
Hf2 Hf 0.3362 0.0071 0.6892
P1 P 0.1760 0.6684 0.8502
H1 H 0.3391 0.1760 0.1541
```

Summary:
Calculated total energy: -105.2 eV/cell
Magnetization: 0.000 μB per atom

***

Entry 2:
A relaxed structure of Hf2PH. Source: Alexandria via LeMat-Bulk, functional PBE.

CIF file:
```
data_Hf2PH
_chemical_formula_sum 'Hf4 P2 H2'
_space_group_name_H-M_alt 'P m n 21'
_space_group_IT_number 31
_cell_length_a 3.6624
_cell_length_b 8.7630
_cell_length_c 3.7753
_cell_angle_alpha 90.00
_cell_angle_beta 90.00
_cell_angle_gamma 90.00
loop_
_space_group_symop_operation_xyz
'x,y,z'
'-x+1/2,-y,z+1/2'
'-x,y,z'
'x+1/2,-y,z+1/2'
loop_
_atom_site_label
_atom_site_type_symbol
_atom_site_fract_x
_atom_site_fract_y
_atom_site_fract_z
Hf1 Hf 0.0000 0.0843 0.0000
Hf2 Hf 0.0000 0.6789 0.0079
P1 P 0.0000 0.3771 0.0087
H1 H 0.0000 0.8857 0.7372
```

Summary:
E above lowest polymorph: 0.000 eV/atom
Calculated total energy: -63.3 eV/cell
Magnetization: 0.000 μB per atom

***

Entry 3:
A relaxed structure of HfPH. Source: Alexandria via LeMat-Bulk, functional PBE.

CIF file:
```
data_HfPH
_chemical_formula_sum 'Hf1 P1 H1'
_space_group_name_H-M_alt 'P -6 m 2'
_space_group_IT_number 187
_space_group_name_Hall 'P -6 2'
_cell_length_a 3.5325
_cell_length_b 3.5325
_cell_length_c 3.4783
_cell_angle_alpha 90.00
_cell_angle_beta 90.00
_cell_angle_gamma 120.00
loop_
_atom_site_label
_atom_site_type_symbol
_atom_site_fract_x
_atom_site_fract_y
_atom_site_fract_z
Hf1 Hf 0.0000 0.0000 0.0000
P1 P 0.3333 0.6667 0.5000
H1 H 0.6667 0.3333 0.0000
```

Summary:
E above lowest polymorph: 0.000 eV/atom
Calculated total energy: -21.7 eV/cell
Magnetization: 0.000 μB per atom